Record 1
Here is an optimized crystal structure of KLaUS4 from the Alexandria database. Energies are from GGA-PBE.

Unit cell a=8.304 b=8.723 c=12.216 alpha=90.00 beta=90.00 gamma=90.00
Space group Imma (No. 74)
Inequivalent atoms, fractional coordinates:
K 0.000 0.250 0.129 (multiplicity 4)
La 0.000 0.000 0.500 (multiplicity 4)
U 0.250 0.250 0.750 (multiplicity 4)
S 0.000 0.047 0.737 (multiplicity 8)
S 0.224 0.250 0.530 (multiplicity 8)

Results
Total moment = 2.000 μB per formula unit
Formation energy from raw total energies = -1.66 eV per atom
Volume = 884.9 Å³/cell
DOS(E_F) = 18.72 states/eV per cell

---

Record 2
Here is an optimized crystal structure of K3LaU2S6 from the Alexandria database. Energies are from GGA-PBE.

Unit cell a=7.157 b=12.396 c=7.790 alpha=90.00 beta=107.87 gamma=90.00
Space group C2/m (No. 12)
Inequivalent atoms, fractional coordinates:
K 0.000 0.000 0.000 (multiplicity 2)
K 0.000 0.335 0.000 (multiplicity 4)
La 0.000 0.500 0.500 (multiplicity 2)
U 0.000 0.167 0.500 (multiplicity 4)
S 0.222 0.000 0.706 (multiplicity 4)
S 0.242 0.327 0.705 (multiplicity 8)

Results
Total moment = 6.015 μB per formula unit
Formation energy from raw total energies = -1.55 eV per atom
Volume = 657.8 Å³/cell
DOS(E_F) = 15.51 states/eV per cell

---

Record 3
Here is an optimized crystal structure of K2LaUS6 from the Alexandria database. Energies are from GGA-PBE.

Unit cell a=7.466 b=7.544 c=12.993 alpha=90.00 beta=124.89 gamma=90.00
Space group P2_1/c (No. 14)
Inequivalent atoms, fractional coordinates:
K 0.244 0.028 0.251 (multiplicity 4)
La 0.500 0.000 0.000 (multiplicity 2)
U 0.000 0.000 0.500 (multiplicity 2)
S 0.177 0.231 0.975 (multiplicity 4)
S 0.247 0.703 0.977 (multiplicity 4)
S 0.282 0.011 0.736 (multiplicity 4)

Results
Total moment = 0.002 μB per formula unit
Formation energy from raw total energies = -1.34 eV per atom
Volume = 600.3 Å³/cell
DOS(E_F) = 17.92 states/eV per cell